Entry 1:
Density functional theory data (PBE-GGA) for a relaxed structure of Pr3TmSb2. Values from VASP.

```
&SYSTEM
  ibrav = 0, nat = 6, ntyp = 3
/
ATOMIC_SPECIES
Pr 140.91 Pr.upf
Tm 168.93 Tm.upf
Sb 121.76 Sb.upf
CELL_PARAMETERS angstrom
4.5914 0.0000 0.0000
0.0000 4.5914 0.0000
0.0000 0.0000 8.8473
ATOMIC_POSITIONS crystal
Pr 0.0000 0.0000 0.0000
Pr 0.0000 0.5000 0.6458
Pr 0.5000 0.0000 0.3542
Tm 0.5000 0.5000 0.0000
Sb 0.0000 0.5000 0.2746
Sb 0.5000 0.0000 0.7254
```

=====

Entry 2:
Density functional theory data (PBE-GGA) for a relaxed structure of Pr2Tm2Sb5. Values from VASP.

```
&SYSTEM
  ibrav = 0, nat = 18, ntyp = 3
/
ATOMIC_SPECIES
Pr 140.91 Pr.upf
Tm 168.93 Tm.upf
Sb 121.76 Sb.upf
CELL_PARAMETERS angstrom
8.0062 -4.0435 0.0000
8.0062 4.0435 0.0000
0.0000 0.0000 8.2727
ATOMIC_POSITIONS crystal
Pr 0.1924 0.1924 0.0000
Pr 0.3076 0.3076 0.5000
Pr 0.6924 0.6924 0.5000
Pr 0.8076 0.8076 0.0000
Tm 0.1553 0.8447 0.6600
Tm 0.3447 0.6553 0.1600
Tm 0.6553 0.3447 0.8400
Tm 0.8447 0.1553 0.3400
Sb 0.0000 0.0000 0.0000
Sb 0.0113 0.7222 0.3556
Sb 0.2222 0.5113 0.8556
Sb 0.2778 0.9887 0.3556
Sb 0.4887 0.7778 0.8556
Sb 0.5000 0.5000 0.5000
Sb 0.5113 0.2222 0.1444
Sb 0.7222 0.0113 0.6444
Sb 0.7778 0.4887 0.1444
Sb 0.9887 0.2778 0.6444
```

=====

Entry 3:
Density functional theory data (PBE-GGA) for a relaxed structure of Pr12Tm5Sb3. Values from VASP.

```
&SYSTEM
  ibrav = 0, nat = 80, ntyp = 3
/
ATOMIC_SPECIES
Pr 140.91 Pr.upf
Tm 168.93 Tm.upf
Sb 121.76 Sb.upf
CELL_PARAMETERS angstrom
-9.2134 9.2134 9.2134
9.2134 -9.2134 9.2134
9.2134 9.2134 -9.2134
ATOMIC_POSITIONS crystal
Pr 0.0661 0.2294 0.1425
Pr 0.0661 0.3366 0.9236
Pr 0.0764 0.6425 0.4130
Pr 0.0764 0.9339 0.6634
Pr 0.0870 0.7294 0.6634
Pr 0.0870 0.8575 0.4236
Pr 0.1425 0.0661 0.2294
Pr 0.1425 0.5764 0.9130
Pr 0.1634 0.2294 0.5870
Pr 0.1634 0.4339 0.5764
Pr 0.2294 0.1425 0.0661
Pr 0.2294 0.5870 0.1634
Pr 0.2706 0.3366 0.9130
Pr 0.2706 0.4339 0.3575
Pr 0.3366 0.9130 0.2706
Pr 0.3366 0.9236 0.0661
Pr 0.3575 0.2706 0.4339
Pr 0.3575 0.5870 0.9236
Pr 0.4130 0.0764 0.6425
Pr 0.4130 0.8366 0.7706
Pr 0.4236 0.0870 0.8575
Pr 0.4236 0.8366 0.5661
Pr 0.4339 0.3575 0.2706
Pr 0.4339 0.5764 0.1634
Pr 0.5661 0.4236 0.8366
Pr 0.5661 0.6425 0.7294
Pr 0.5764 0.1634 0.4339
Pr 0.5764 0.9130 0.1425
Pr 0.5870 0.1634 0.2294
Pr 0.5870 0.9236 0.3575
Pr 0.6425 0.4130 0.0764
Pr 0.6425 0.7294 0.5661
Pr 0.6634 0.0764 0.9339
Pr 0.6634 0.0870 0.7294
Pr 0.7294 0.5661 0.6425
Pr 0.7294 0.6634 0.0870
Pr 0.7706 0.4130 0.8366
Pr 0.7706 0.8575 0.9339
Pr 0.8366 0.5661 0.4236
Pr 0.8366 0.7706 0.4130
Pr 0.8575 0.4236 0.0870
Pr 0.8575 0.9339 0.7706
Pr 0.9130 0.1425 0.5764
Pr 0.9130 0.2706 0.3366
Pr 0.9236 0.0661 0.3366
Pr 0.9236 0.3575 0.5870
Pr 0.9339 0.6634 0.0764
Pr 0.9339 0.7706 0.8575
Tm 0.0000 0.0000 0.0000
Tm 0.0000 0.0000 0.5000
Tm 0.0000 0.5000 0.0000
Tm 0.0000 0.5000 0.5000
Tm 0.1250 0.7500 0.8750
Tm 0.1250 0.8750 0.2500
Tm 0.2500 0.1250 0.8750
Tm 0.2500 0.6250 0.3750
Tm 0.3750 0.2500 0.6250
Tm 0.3750 0.6250 0.7500
Tm 0.5000 0.0000 0.0000
Tm 0.5000 0.0000 0.5000
Tm 0.5000 0.5000 0.0000
Tm 0.5000 0.5000 0.5000
Tm 0.6250 0.3750 0.2500
Tm 0.6250 0.7500 0.3750
Tm 0.7500 0.3750 0.6250
Tm 0.7500 0.8750 0.1250
Tm 0.8750 0.1250 0.7500
Tm 0.8750 0.2500 0.1250
Sb 0.1250 0.2500 0.3750
Sb 0.1250 0.3750 0.7500
Sb 0.2500 0.3750 0.1250
Sb 0.2500 0.8750 0.6250
Sb 0.3750 0.1250 0.2500
Sb 0.3750 0.7500 0.1250
Sb 0.6250 0.2500 0.8750
Sb 0.6250 0.8750 0.7500
Sb 0.7500 0.1250 0.3750
Sb 0.7500 0.6250 0.8750
Sb 0.8750 0.6250 0.2500
Sb 0.8750 0.7500 0.6250
```

=====

Entry 4:
Density functional theory data (PBE-GGA) for a relaxed structure of Pr2TmSb. Values from VASP.

```
&SYSTEM
  ibrav = 0, nat = 4, ntyp = 3
/
ATOMIC_SPECIES
Pr 140.91 Pr.upf
Tm 168.93 Tm.upf
Sb 121.76 Sb.upf
CELL_PARAMETERS angstrom
0.0000 3.9230 3.9230
3.9230 0.0000 3.9230
3.9230 3.9230 0.0000
ATOMIC_POSITIONS crystal
Pr 0.2500 0.2500 0.2500
Pr 0.7500 0.7500 0.7500
Tm 0.0000 0.0000 0.0000
Sb 0.5000 0.5000 0.5000
```

=====

Entry 5:
Density functional theory data (PBE-GGA) for a relaxed structure of PrTm5Sb6. Values from VASP.

```
&SYSTEM
  ibrav = 0, nat = 12, ntyp = 3
/
ATOMIC_SPECIES
Pr 140.91 Pr.upf
Tm 168.93 Tm.upf
Sb 121.76 Sb.upf
CELL_PARAMETERS angstrom
3.7897 -6.5663 0.0000
3.7897 6.5663 0.0000
-2.5336 0.0000 7.1446
ATOMIC_POSITIONS crystal
Pr 0.0000 0.0000 0.0000
Tm 0.1629 0.8371 0.5000
Tm 0.3320 0.6680 0.0000
Tm 0.5000 0.5000 0.5000
Tm 0.6680 0.3320 0.0000
Tm 0.8371 0.1629 0.5000
Sb 0.0857 0.4270 0.2561
Sb 0.2579 0.2579 0.7477
Sb 0.4270 0.0857 0.2561
Sb 0.5730 0.9143 0.7439
Sb 0.7421 0.7421 0.2523
Sb 0.9143 0.5730 0.7439
```

=====

Entry 6:
Density functional theory data (PBE-GGA) for a relaxed structure of PrTm2Sb2. Values from VASP.

```
&SYSTEM
  ibrav = 0, nat = 10, ntyp = 3
/
ATOMIC_SPECIES
Pr 140.91 Pr.upf
Tm 168.93 Tm.upf
Sb 121.76 Sb.upf
CELL_PARAMETERS angstrom
5.1829 -5.7795 0.0000
5.1829 5.7795 0.0000
-5.0012 0.0000 5.5089
ATOMIC_POSITIONS crystal
Pr 0.1241 0.8759 0.7500
Pr 0.8759 0.1241 0.2500
Tm 0.2172 0.4632 0.2446
Tm 0.4632 0.2172 0.7446
Tm 0.5368 0.7828 0.2554
Tm 0.7828 0.5368 0.7554
Sb 0.1530 0.8470 0.2500
Sb 0.3997 0.6003 0.7500
Sb 0.6003 0.3997 0.2500
Sb 0.8470 0.1530 0.7500
```

=====

Let's list E_form (uncorrected) in order: -4.91, -7.63, 9.25, -1.19, -12.96, -2.89 eV/f.u..